Compound: KCoIrF6
Source: Alexandria
Functional: GGA+U
Structure: relaxed

Energy (eV per atom): -4.88

Unit cell a=5.490 b=5.490 c=5.700 alpha=90.05 beta=90.05 gamma=119.93
Fractional coordinates of all 9 atoms:
1 K 0.000 0.000 0.000
2 Co 0.333 0.667 0.500
3 Ir 0.667 0.333 0.500
4 F 0.361 0.356 0.314
5 F 0.362 0.006 0.687
6 F 0.643 0.005 0.314
7 F 0.644 0.639 0.686
8 F 0.994 0.638 0.313
9 F 0.995 0.357 0.686